Entry 1:
Crystalline Sr2InSbTe5 at its relaxed geometry. Source: Alexandria, functional GGA-PBE.

Computed properties:
Space-group type: Cmc2_1 (36)
ΔE_f (raw), eV/atom: -0.88
Crystal system: orthorhombic

```
Sr2InSbTe5
1.0
4.5086 0.0000 0.0000
-2.2543 10.0748 0.0000
0.0000 0.0000 13.8502
Te Sb Sr In
10 2 4 2
direct
0.5034 0.0069 0.2701
0.0498 0.0996 0.0669
0.9502 0.9004 0.5669
0.3049 0.6097 0.3597
0.6407 0.2815 0.4985
0.3593 0.7185 0.9985
0.4966 0.9931 0.7701
0.2786 0.5571 0.6714
0.6951 0.3903 0.8597
0.7214 0.4429 0.1714
0.7840 0.5680 0.5216
0.2160 0.4320 0.0216
0.1273 0.2546 0.3112
0.8727 0.7454 0.8112
0.1113 0.2226 0.6799
0.8887 0.7774 0.1799
0.5648 0.1295 0.9446
0.4352 0.8705 0.4446
```

=====

Entry 2:
Crystalline BaSnIr at its relaxed geometry. Source: Alexandria, functional GGA-PBE.

Computed properties:
D(E_F), states/eV/cell: 8.39
Space-group type: P2_1/c (14)
Formation enthalpy at 0 K, eV per atom: -0.45
Crystal system: monoclinic

```
BaSnIr
1.0
-5.6472 -3.7154 -1.4791
2.9771 -2.0246 -6.2807
4.7350 -4.5849 3.7224
Sn Ir Ba
4 4 4
direct
0.7056 0.1408 0.4079
0.2944 0.8592 0.5921
0.2056 0.3592 0.9079
0.7944 0.6408 0.0921
0.4518 0.6029 0.8275
0.9518 0.8971 0.3275
0.5482 0.3971 0.1725
0.0482 0.1029 0.6725
0.2866 0.8631 0.0849
0.7866 0.6369 0.5849
0.2134 0.3631 0.4151
0.7134 0.1369 0.9151
```

=====

Entry 3:
Crystalline MgNp2B2Rh5 at its relaxed geometry. Source: Alexandria, functional GGA-PBE.

Computed properties:
D(E_F), states/eV/cell: 39.03
Space-group type: P4/mbm (127)
Formation enthalpy at 0 K, eV per atom: -0.46
Crystal system: tetragonal

```
MgNp2B2Rh5
1.0
3.1331 0.0000 0.0000
0.0000 9.7588 0.0000
0.0000 0.0000 9.7588
Np Rh B Mg
4 10 4 2
direct
0.0000 0.8219 0.6781
0.0000 0.3219 0.8219
0.0000 0.6781 0.1781
0.0000 0.1781 0.3219
0.5000 0.2263 0.0692
0.5000 0.9308 0.2263
0.5000 0.0000 0.5000
0.5000 0.5692 0.7263
0.5000 0.2737 0.5692
0.5000 0.4308 0.2737
0.5000 0.7263 0.4308
0.5000 0.7737 0.9308
0.5000 0.5000 0.0000
0.5000 0.0692 0.7737
0.0000 0.3784 0.1216
0.0000 0.1216 0.6216
0.0000 0.6216 0.8784
0.0000 0.8784 0.3784
0.0000 0.0000 0.0000
0.0000 0.5000 0.5000
```

=====

Entry 4:
Crystalline KMnBiTe3 at its relaxed geometry. Source: Alexandria, functional GGA-PBE.

Computed properties:
Space-group type: P2_1/m (11)
ΔE_f (raw), eV/atom: -0.45
Crystal system: monoclinic

```
KMnBiTe3
1.0
-1.5408 2.5975 -3.3857
-1.3734 -8.1201 -5.6047
-8.8881 1.4322 5.1435
Te Bi K Mn
6 2 2 2
direct
0.7500 0.8861 0.1300
0.2500 0.1139 0.8700
0.2500 0.5476 0.8337
0.7500 0.2039 0.5241
0.7500 0.4524 0.1663
0.2500 0.7961 0.4759
0.7500 0.3351 0.8651
0.2500 0.6649 0.1349
0.7500 0.8072 0.7649
0.2500 0.1928 0.2351
0.7500 0.9171 0.3970
0.2500 0.0829 0.6030
```

=====

Entry 5:
Crystalline Np3AlPd12 at its relaxed geometry. Source: Alexandria, functional GGA-PBE.

Computed properties:
D(E_F), states/eV/cell: 36.46
Space-group type: P4/mmm (123)
Formation enthalpy at 0 K, eV per atom: -0.48
Crystal system: tetragonal

```
Np3AlPd12
1.0
-0.0654 3.1743 2.6026
-2.7353 -1.9746 2.3395
12.0815 -6.6978 8.4725
Pd Np Al
12 3 1
direct
0.0000 0.5000 0.3712
0.5000 0.0000 0.6288
0.5000 0.0000 0.8861
0.5000 0.5000 0.2425
0.5000 0.5000 0.7575
0.5000 0.5000 0.0000
0.0000 0.5000 0.1139
0.5000 0.5000 0.5000
0.5000 0.0000 0.1139
0.0000 0.5000 0.6288
0.0000 0.5000 0.8861
0.5000 0.0000 0.3712
0.0000 0.0000 0.2408
0.0000 0.0000 0.7592
0.0000 0.0000 0.5000
0.0000 0.0000 0.0000
```

=====

Entry 6:
Crystalline Cr2PH at its relaxed geometry. Source: Alexandria, functional GGA-PBE.

Computed properties:
D(E_F), states/eV/cell: 3.02
Space-group type: Fm-3m (225)
Total energy, eV for the cell shown: -27.4
Crystal system: cubic

```
Cr2PH
1.0
3.3612 1.8929 0.5876
0.1738 2.9071 2.5970
1.9534 -0.4844 3.3430
Cr H P
2 1 1
direct
0.2500 0.2500 0.2500
0.7500 0.7500 0.7500
0.0000 0.0000 0.0000
0.5000 0.5000 0.5000
```